[1]
Computed, not measured: Sr2LiO after structural relaxation at the PBE-GGA level of DFT.

a = 9.9710 Å, b = 9.9710 Å, c = 9.9710 Å
α = 21.51°, β = 21.51°, γ = 21.51°
Sites, in units of the cell vectors:
Sr: 0.1155 0.1155 0.1155
Sr: 0.8845 0.8845 0.8845
Li: 0.0000 0.0000 0.0000
O: 0.5000 0.5000 0.5000

SG ... R-3m, No. 166
Formation energy without anion corrections ... -1.0920 eV/atom

***

[2]
Computed, not measured: La2CuSi2 after structural relaxation at the PBE-GGA level of DFT.

a = 7.1111 Å, b = 7.1111 Å, c = 4.5823 Å
α = 90.00°, β = 90.00°, γ = 90.00°
Sites, in units of the cell vectors:
La: 0.1773 0.3227 0.0000
La: 0.3227 0.8227 0.0000
La: 0.6773 0.1773 0.0000
La: 0.8227 0.6773 0.0000
Cu: 0.0000 0.0000 0.5000
Cu: 0.5000 0.5000 0.5000
Si: 0.1211 0.6211 0.5000
Si: 0.3789 0.1211 0.5000
Si: 0.6211 0.8789 0.5000
Si: 0.8789 0.3789 0.5000

SG ... P4/mbm, No. 127
Formation energy without anion corrections ... -0.4945 eV/atom

***

[3]
Computed, not measured: TeRu2 after structural relaxation at the PBE-GGA level of DFT.

a = 9.6818 Å, b = 9.6818 Å, c = 4.2974 Å
α = 90.00°, β = 90.00°, γ = 162.63°
Sites, in units of the cell vectors:
Te: 0.1647 0.8353 0.7500
Te: 0.8353 0.1647 0.2500
Ru: 0.0794 0.9206 0.2500
Ru: 0.4636 0.5364 0.2500
Ru: 0.5364 0.4636 0.7500
Ru: 0.9206 0.0794 0.7500

SG ... Cmcm, No. 63
Formation energy without anion corrections ... 0.1137 eV/atom

***

[4]
Computed, not measured: TiI3N after structural relaxation at the PBE-GGA level of DFT.

a = 5.5631 Å, b = 5.5631 Å, c = 5.5631 Å
α = 90.00°, β = 90.00°, γ = 90.00°
Sites, in units of the cell vectors:
Ti: 0.0000 0.0000 0.0000
I: 0.0000 0.0000 0.5000
I: 0.0000 0.5000 0.0000
I: 0.5000 0.0000 0.0000
N: 0.5000 0.5000 0.5000

SG ... Pm-3m, No. 221
Formation energy without anion corrections ... 0.6190 eV/atom

***

[5]
Computed, not measured: Dy2CuBi after structural relaxation at the PBE-GGA level of DFT.

a = 9.9835 Å, b = 9.9835 Å, c = 9.9835 Å
α = 21.87°, β = 21.87°, γ = 21.87°
Sites, in units of the cell vectors:
Dy: 0.1076 0.1076 0.1076
Dy: 0.8924 0.8924 0.8924
Cu: 0.5000 0.5000 0.5000
Bi: 0.0000 0.0000 0.0000

E_form ... 0.14 eV per formula unit
SG ... R-3m, No. 166

***

[6]
Computed, not measured: LiVSi after structural relaxation at the PBE-GGA level of DFT.

a = 4.0319 Å, b = 4.0319 Å, c = 2.6762 Å
α = 90.00°, β = 90.00°, γ = 120.00°
Sites, in units of the cell vectors:
Li: 0.0000 0.0000 0.0000
V: 0.3333 0.6667 0.4991
Si: 0.6667 0.3333 0.9979

SG ... P3m1, No. 156
Formation energy without anion corrections ... -0.1104 eV/atom

***

[7]
Computed, not measured: VIr3W2 after structural relaxation at the PBE-GGA level of DFT.

a = 2.7640 Å, b = 3.8895 Å, c = 8.2677 Å
α = 90.00°, β = 90.00°, γ = 90.00°
Sites, in units of the cell vectors:
V: 0.0000 0.0000 0.0000
Ir: 0.5000 0.5000 0.1636
Ir: 0.5000 0.5000 0.5000
Ir: 0.5000 0.5000 0.8364
W: 0.0000 0.0000 0.3296
W: 0.0000 0.0000 0.6704

E_form ... -2.10 eV per formula unit
SG ... Pmmm, No. 47

***

[8]
Computed, not measured: Ho2OsI after structural relaxation at the PBE-GGA level of DFT.

a = 3.4604 Å, b = 3.4604 Å, c = 8.4063 Å
α = 90.00°, β = 90.00°, γ = 90.00°
Sites, in units of the cell vectors:
Ho: 0.0000 0.0000 0.1965
Ho: 0.0000 0.0000 0.8035
Os: 0.5000 0.5000 0.0000
I: 0.5000 0.5000 0.5000

SG ... P4/mmm, No. 123
Formation energy without anion corrections ... -0.4775 eV/atom

***

[9]
Computed, not measured: BeNi2Se after structural relaxation at the PBE-GGA level of DFT.

a = 3.1630 Å, b = 3.1630 Å, c = 4.7464 Å
α = 90.00°, β = 90.00°, γ = 90.00°
Sites, in units of the cell vectors:
Be: 0.0000 0.0000 0.0000
Ni: 0.0000 0.0000 0.4717
Ni: 0.5000 0.5000 0.1699
Se: 0.5000 0.5000 0.6769

SG ... P4mm, No. 99
Formation energy without anion corrections ... -0.0475 eV/atom

***

[10]
Computed, not measured: Pr5Hg4Au after structural relaxation at the PBE-GGA level of DFT.

a = 3.8395 Å, b = 3.8395 Å, c = 19.2118 Å
α = 90.00°, β = 90.00°, γ = 90.00°
Sites, in units of the cell vectors:
Pr: 0.0000 0.0000 0.0000
Pr: 0.0000 0.0000 0.2032
Pr: 0.0000 0.0000 0.4067
Pr: 0.0000 0.0000 0.5933
Pr: 0.0000 0.0000 0.7968
Hg: 0.5000 0.5000 0.1018
Hg: 0.5000 0.5000 0.3024
Hg: 0.5000 0.5000 0.6976
Hg: 0.5000 0.5000 0.8982
Au: 0.5000 0.5000 0.5000

E_form ... -5.26 eV per formula unit
SG ... P4/mmm, No. 123

***

[11]
Computed, not measured: Be2WCl after structural relaxation at the PBE-GGA level of DFT.

a = 4.2415 Å, b = 4.2415 Å, c = 4.2415 Å
α = 60.00°, β = 60.00°, γ = 60.00°
Sites, in units of the cell vectors:
Be: 0.2500 0.2500 0.2500
Be: 0.7500 0.7500 0.7500
W: 0.0000 0.0000 0.0000
Cl: 0.5000 0.5000 0.5000

SG ... Fm-3m, No. 225
Formation energy without anion corrections ... 1.4045 eV/atom

***

[12]
Computed, not measured: CoCuOs2 after structural relaxation at the PBE-GGA level of DFT.

a = 5.4769 Å, b = 5.4769 Å, c = 5.4769 Å
α = 151.86°, β = 134.49°, γ = 54.37°
Sites, in units of the cell vectors:
Co: 0.0000 0.0000 0.0000
Cu: 0.5000 0.5000 0.0000
Os: 0.2115 0.7115 0.5000
Os: 0.7885 0.2885 0.5000

E_form ... 1.47 eV per formula unit
SG ... Immm, No. 71

***

[13]
Computed, not measured: BaFe2Ir after structural relaxation at the PBE-GGA level of DFT.

a = 4.7573 Å, b = 4.7573 Å, c = 3.1540 Å
α = 90.00°, β = 90.00°, γ = 90.00°
Sites, in units of the cell vectors:
Ba: 0.0000 0.0000 0.0000
Fe: 0.0000 0.5000 0.5000
Fe: 0.5000 0.0000 0.5000
Ir: 0.5000 0.5000 0.0000

E_form ... 3.57 eV per formula unit
SG ... P4/mmm, No. 123

***

[14]
Computed, not measured: MnAlNi6 after structural relaxation at the PBE-GGA level of DFT.

a = 3.5668 Å, b = 3.5668 Å, c = 7.1128 Å
α = 90.00°, β = 90.00°, γ = 90.00°
Sites, in units of the cell vectors:
Mn: 0.0000 0.0000 0.0000
Al: 0.0000 0.0000 0.5000
Ni: 0.0000 0.5000 0.2502
Ni: 0.0000 0.5000 0.7498
Ni: 0.5000 0.0000 0.2502
Ni: 0.5000 0.0000 0.7498
Ni: 0.5000 0.5000 0.0000
Ni: 0.5000 0.5000 0.5000

E_form ... -2.12 eV per formula unit
SG ... P4/mmm, No. 123

***

[15]
Computed, not measured: Zr5CdHg6 after structural relaxation at the PBE-GGA level of DFT.

a = 8.3490 Å, b = 8.3490 Å, c = 8.3490 Å
α = 148.97°, β = 118.58°, γ = 70.41°
Sites, in units of the cell vectors:
Zr: 0.0000 0.0000 0.0000
Zr: 0.1621 0.6621 0.5000
Zr: 0.3289 0.3289 0.0000
Zr: 0.6711 0.6711 0.0000
Zr: 0.8379 0.3379 0.5000
Cd: 0.5000 0.0000 0.5000
Hg: 0.0838 0.8321 0.2517
Hg: 0.2534 0.5000 0.7534
Hg: 0.4197 0.1679 0.2517
Hg: 0.5803 0.8321 0.7483
Hg: 0.7466 0.5000 0.2466
Hg: 0.9162 0.1679 0.7483

E_form ... -1.58 eV per formula unit
SG ... Immm, No. 71

***

[16]
Computed, not measured: NaZn2Si after structural relaxation at the PBE-GGA level of DFT.

a = 5.9577 Å, b = 5.9577 Å, c = 5.9577 Å
α = 41.16°, β = 41.16°, γ = 41.16°
Sites, in units of the cell vectors:
Na: 0.0000 0.0000 0.0000
Zn: 0.2125 0.2125 0.2125
Zn: 0.7875 0.7875 0.7875
Si: 0.5000 0.5000 0.5000

SG ... R-3m, No. 166
Formation energy without anion corrections ... 0.1207 eV/atom

***

[17]
Computed, not measured: KTl11Pb after structural relaxation at the PBE-GGA level of DFT.

a = 8.7103 Å, b = 8.7103 Å, c = 8.7293 Å
α = 98.14°, β = 98.14°, γ = 135.64°
Sites, in units of the cell vectors:
K: 0.0000 0.0000 0.0000
Tl: 0.0000 0.0000 0.5000
Tl: 0.0000 0.5000 0.0000
Tl: 0.0081 0.3654 0.3579
Tl: 0.2845 0.4966 0.7874
Tl: 0.3654 0.0081 0.3579
Tl: 0.4966 0.2845 0.7874
Tl: 0.5000 0.0000 0.0000
Tl: 0.5034 0.7155 0.2126
Tl: 0.6346 0.9919 0.6421
Tl: 0.7155 0.5034 0.2126
Tl: 0.9919 0.6346 0.6421
Pb: 0.5000 0.5000 0.5000

E_form ... -0.07 eV per formula unit
SG ... C2/m, No. 12

***

[18]
Computed, not measured: MgSi2Ni2Ir after structural relaxation at the PBE-GGA level of DFT.

a = 4.5182 Å, b = 4.5182 Å, c = 5.0531 Å
α = 90.00°, β = 90.00°, γ = 90.00°
Sites, in units of the cell vectors:
Mg: 0.0000 0.0000 0.0000
Si: 0.0000 0.5000 0.5000
Si: 0.5000 0.0000 0.5000
Ni: 0.5000 0.5000 0.2541
Ni: 0.5000 0.5000 0.7459
Ir: 0.0000 0.0000 0.5000

SG ... P4/mmm, No. 123
Formation energy without anion corrections ... 0.0957 eV/atom

***

[19]
Computed, not measured: NaSCl after structural relaxation at the PBE-GGA level of DFT.

a = 10.0133 Å, b = 4.0561 Å, c = 7.8702 Å
α = 90.00°, β = 90.00°, γ = 90.00°
Sites, in units of the cell vectors:
Na: 0.1489 0.2500 0.1232
Na: 0.3511 0.7500 0.6232
Na: 0.6489 0.2500 0.3768
Na: 0.8511 0.7500 0.8768
S: 0.0171 0.2500 0.4600
S: 0.4829 0.7500 0.9600
S: 0.5171 0.2500 0.0400
S: 0.9829 0.7500 0.5400
Cl: 0.1541 0.7500 0.8987
Cl: 0.3459 0.2500 0.3987
Cl: 0.6541 0.7500 0.6013
Cl: 0.8459 0.2500 0.1013

SG ... Pnma, No. 62
Formation energy without anion corrections ... -0.8846 eV/atom

***

[20]
Computed, not measured: Tc2PtCl after structural relaxation at the PBE-GGA level of DFT.

a = 9.3118 Å, b = 9.3118 Å, c = 9.3118 Å
α = 17.54°, β = 17.54°, γ = 17.54°
Sites, in units of the cell vectors:
Tc: 0.0000 0.0000 0.0000
Tc: 0.2579 0.2579 0.2579
Pt: 0.5085 0.5085 0.5085
Cl: 0.7359 0.7359 0.7359

SG ... R3m, No. 160
Formation energy without anion corrections ... 0.1186 eV/atom

***

[21]
Computed, not measured: CsLiSbS2 after structural relaxation at the PBE-GGA level of DFT.

a = 4.0544 Å, b = 4.2246 Å, c = 7.9175 Å
α = 90.00°, β = 90.00°, γ = 90.00°
Sites, in units of the cell vectors:
Cs: 0.0000 0.0000 0.0000
Li: 0.0000 0.5000 0.5000
Sb: 0.5000 0.0000 0.5000
S: 0.5000 0.5000 0.2774
S: 0.5000 0.5000 0.7226

SG ... Pmmm, No. 47
Formation energy without anion corrections ... -0.7475 eV/atom

***

[22]
Computed, not measured: NaInTeN2 after structural relaxation at the PBE-GGA level of DFT.

a = 4.4670 Å, b = 4.4670 Å, c = 6.1079 Å
α = 90.00°, β = 90.00°, γ = 90.00°
Sites, in units of the cell vectors:
Na: 0.0000 0.0000 0.0000
In: 0.5000 0.5000 0.5000
Te: 0.5000 0.5000 0.0000
N: 0.0000 0.5000 0.5000
N: 0.5000 0.0000 0.5000

SG ... P4/mmm, No. 123
Formation energy without anion corrections ... 1.0655 eV/atom

***

[23]
Computed, not measured: ZrTePt after structural relaxation at the PBE-GGA level of DFT.

a = 4.1473 Å, b = 4.1473 Å, c = 4.7499 Å
α = 90.00°, β = 90.00°, γ = 120.00°
Sites, in units of the cell vectors:
Zr: 0.0000 0.0000 0.0000
Te: 0.6667 0.3333 0.5740
Pt: 0.3333 0.6667 0.2451

SG ... P3m1, No. 156
Formation energy without anion corrections ... -0.6948 eV/atom

***

[24]
Computed, not measured: Rb2GeRuI6 after structural relaxation at the PBE-GGA level of DFT.

a = 8.1306 Å, b = 8.1306 Å, c = 8.1306 Å
α = 60.00°, β = 60.00°, γ = 60.00°
Sites, in units of the cell vectors:
Rb: 0.2500 0.2500 0.2500
Rb: 0.7500 0.7500 0.7500
Ge: 0.0000 0.0000 0.0000
Ru: 0.5000 0.5000 0.5000
I: 0.2607 0.2607 0.7393
I: 0.2607 0.7393 0.2607
I: 0.2607 0.7393 0.7393
I: 0.7393 0.2607 0.2607
I: 0.7393 0.2607 0.7393
I: 0.7393 0.7393 0.2607

SG ... Fm-3m, No. 225
Formation energy without anion corrections ... -0.5467 eV/atom

***

[25]
Computed, not measured: BaSrSm2Se4 after structural relaxation at the PBE-GGA level of DFT.

a = 7.4757 Å, b = 4.3138 Å, c = 7.6833 Å
α = 90.00°, β = 108.91°, γ = 90.00°
Sites, in units of the cell vectors:
Ba: 0.0000 0.0000 0.0000
Sr: 0.5000 0.5000 0.0000
Sm: 0.0000 0.5000 0.5000
Sm: 0.5000 0.0000 0.5000
Se: 0.2504 0.0000 0.7306
Se: 0.2648 0.5000 0.2751
Se: 0.7352 0.5000 0.7249
Se: 0.7496 0.0000 0.2694

SG ... P2/m, No. 10
Formation energy without anion corrections ... -1.8981 eV/atom

***

[26]
Computed, not measured: WAu after structural relaxation at the PBE-GGA level of DFT.

a = 4.9348 Å, b = 4.9348 Å, c = 5.1807 Å
α = 97.05°, β = 97.05°, γ = 32.38°
Sites, in units of the cell vectors:
W: 0.1230 0.1230 0.3826
W: 0.8770 0.8770 0.6174
Au: 0.3773 0.3773 0.1227
Au: 0.6227 0.6227 0.8773

E_form ... 0.81 eV per formula unit
SG ... C2/m, No. 12

***

Number 1: density of states at the Fermi level 2.83 states/eV per cell, M_tot 0.403 μB/f.u.. Number 2: density of states at the Fermi level 6.91 states/eV per cell, M_tot 0.000 μB/f.u.. Number 3: density of states at the Fermi level 5.79 states/eV per cell, M_tot 0.000 μB/f.u.. Number 4: density of states at the Fermi level 3.32 states/eV per cell, M_tot 2.991 μB/f.u.. Number 5: density of states at the Fermi level 3.61 states/eV per cell, M_tot 0.000 μB/f.u.. Number 6: density of states at the Fermi level 2.11 states/eV per cell, M_tot 0.464 μB/f.u.. Number 7: density of states at the Fermi level 4.17 states/eV per cell, M_tot 0.000 μB/f.u.. Number 8: density of states at the Fermi level 1.00 states/eV per cell, M_tot 0.000 μB/f.u.. Number 9: density of states at the Fermi level 1.49 states/eV per cell, M_tot 0.000 μB/f.u.. Number 10: density of states at the Fermi level 10.27 states/eV per cell, M_tot 1.348 μB/f.u.. Number 11: density of states at the Fermi level 4.61 states/eV per cell, M_tot 0.000 μB/f.u.. Number 12: density of states at the Fermi level 4.52 states/eV per cell, M_tot 0.902 μB/f.u.. Number 13: density of states at the Fermi level 3.92 states/eV per cell, M_tot 5.561 μB/f.u.. Number 14: density of states at the Fermi level 8.15 states/eV per cell, M_tot 5.276 μB/f.u.. Number 15: density of states at the Fermi level 10.79 states/eV per cell, M_tot 0.000 μB/f.u.. Number 16: density of states at the Fermi level 1.37 states/eV per cell, M_tot 0.000 μB/f.u.. Number 17: density of states at the Fermi level 6.28 states/eV per cell, M_tot 0.000 μB/f.u.. Number 18: density of states at the Fermi level 3.23 states/eV per cell, M_tot 0.000 μB/f.u.. Number 19: density of states at the Fermi level 3.61 states/eV per cell, M_tot 0.000 μB/f.u.. Number 20: density of states at the Fermi level 4.10 states/eV per cell, M_tot 0.000 μB/f.u.. Number 21: density of states at the Fermi level 0.50 states/eV per cell, M_tot 0.000 μB/f.u.. Number 22: density of states at the Fermi level 2.19 states/eV per cell, M_tot 4.016 μB/f.u.. Number 23: density of states at the Fermi level 0.17 states/eV per cell, M_tot 0.000 μB/f.u.. Number 24: density of states at the Fermi level 2.64 states/eV per cell, M_tot 0.000 μB/f.u.. Number 25: density of states at the Fermi level 3.80 states/eV per cell, M_tot 0.000 μB/f.u.. Number 26: density of states at the Fermi level 1.83 states/eV per cell, M_tot 0.000 μB/f.u..